Entry from the Alexandria database: a relaxed RbHg6Br12 crystal (PBE).

CIF file:
```
data_RbHg6Br12
_chemical_formula_sum 'Rb3 Hg18 Br36'
_space_group_name_H-M_alt 'R -3 m'
_space_group_IT_number 166
_space_group_name_Hall '-R 3 2"'
_cell_length_a 19.5215
_cell_length_b 19.5215
_cell_length_c 7.7007
_cell_angle_alpha 90.00
_cell_angle_beta 90.00
_cell_angle_gamma 120.00
loop_
_atom_site_label
_atom_site_type_symbol
_atom_site_fract_x
_atom_site_fract_y
_atom_site_fract_z
Rb1 Rb 0.0000 0.0000 0.0000
Hg1 Hg 0.0002 0.5001 0.2455
Br1 Br 0.0000 0.4034 0.5000
Br2 Br 0.1072 0.2145 0.3289
```

Results
polymorph energy (0 for the lowest one) = 68.5 meV/atom
electronic total energy = -94.52 eV/cell
energy relative to the elements, uncorrected = -835 kJ/mol of formula units


Entry from the Alexandria database: a relaxed NbBiMo crystal (PBE).

CIF file:
```
data_NbBiMo
_chemical_formula_sum 'Nb4 Bi4 Mo4'
_space_group_name_H-M_alt 'C 1 2/m 1'
_space_group_IT_number 12
_cell_length_a 8.8737
_cell_length_b 3.2075
_cell_length_c 10.9446
_cell_angle_alpha 90.00
_cell_angle_beta 109.61
_cell_angle_gamma 90.00
loop_
_space_group_symop_operation_xyz
'x,y,z'
'-x,-y,-z'
'-x,y,-z'
'x,-y,z'
'x+1/2,y+1/2,z'
'-x+1/2,-y+1/2,-z'
'-x+1/2,y+1/2,-z'
'x+1/2,-y+1/2,z'
loop_
_atom_site_label
_atom_site_type_symbol
_atom_site_fract_x
_atom_site_fract_y
_atom_site_fract_z
Nb1 Nb 0.2363 0.0000 0.3147
Bi1 Bi 0.0503 0.5000 0.8551
Mo1 Mo 0.1032 0.5000 0.4379
```

Results
electronic total energy = -93.45 eV/cell
calculated formation energy = 0.47 eV/atom


Entry from the Alexandria database: a relaxed Na2CdIr crystal (PBE).

CIF file:
```
data_Na2CdIr
_chemical_formula_sum 'Na6 Cd3 Ir3'
_space_group_name_H-M_alt 'R -3 m'
_space_group_IT_number 166
_space_group_name_Hall '-R 3 2"'
_cell_length_a 2.8766
_cell_length_b 2.8766
_cell_length_c 33.5174
_cell_angle_alpha 90.00
_cell_angle_beta 90.00
_cell_angle_gamma 120.00
loop_
_atom_site_label
_atom_site_type_symbol
_atom_site_fract_x
_atom_site_fract_y
_atom_site_fract_z
Na1 Na 0.0000 0.0000 0.0811
Cd1 Cd 0.0000 0.0000 0.5000
Ir1 Ir 0.0000 0.0000 0.0000
```

Results
electronic total energy = -32.04 eV/cell
calculated formation energy = 0.43 eV/atom


Entry from the Alexandria database: a relaxed Nd2SmDyS4 crystal (PBE).

CIF file:
```
data_Nd2SmDyS4
_chemical_formula_sum 'Nd2 Sm1 Dy1 S4'
_space_group_name_H-M_alt 'P 1 2/m 1'
_space_group_IT_number 10
_cell_length_a 6.9444
_cell_length_b 3.9690
_cell_length_c 7.0179
_cell_angle_alpha 90.00
_cell_angle_beta 108.92
_cell_angle_gamma 90.00
loop_
_space_group_symop_operation_xyz
'x,y,z'
'-x,-y,-z'
'-x,y,-z'
'x,-y,z'
loop_
_atom_site_label
_atom_site_type_symbol
_atom_site_fract_x
_atom_site_fract_y
_atom_site_fract_z
Nd1 Nd 0.0000 0.0000 0.0000
Nd2 Nd 0.5000 0.5000 0.0000
Sm1 Sm 0.0000 0.5000 0.5000
Dy1 Dy 0.5000 0.0000 0.5000
S1 S 0.2515 0.0000 0.7408
S2 S 0.2590 0.5000 0.2627
```

Results
electronic total energy = -51.49 eV/cell
energy relative to the elements, uncorrected = -1556 kJ/mol of formula units


Entry from the Alexandria database: a relaxed Be2Ag4Sb crystal (PBE).

CIF file:
```
data_Be2Ag4Sb
_chemical_formula_sum 'Be4 Ag8 Sb2'
_space_group_name_H-M_alt 'I 4/m m m'
_space_group_IT_number 139
_space_group_name_Hall '-I 4 2'
_cell_length_a 5.2420
_cell_length_b 5.2420
_cell_length_c 12.2260
_cell_angle_alpha 90.00
_cell_angle_beta 90.00
_cell_angle_gamma 90.00
loop_
_atom_site_label
_atom_site_type_symbol
_atom_site_fract_x
_atom_site_fract_y
_atom_site_fract_z
Be1 Be 0.0000 0.0000 0.0871
Ag1 Ag 0.0000 0.0000 0.2715
Ag2 Ag 0.0000 0.5000 0.0000
Sb1 Sb 0.0000 0.0000 0.5000
```

Results
electronic total energy = -35.27 eV/cell
energy relative to the elements, uncorrected = 516 kJ/mol of formula units


Entry from the Alexandria database: a relaxed Pr8Sm2Zn crystal (PBE).

CIF file:
```
data_Pr8Sm2Zn
_chemical_formula_sum 'Pr16 Sm4 Zn2'
_space_group_name_H-M_alt 'C 1 2/m 1'
_space_group_IT_number 12
_cell_length_a 19.6334
_cell_length_b 5.7726
_cell_length_c 6.6146
_cell_angle_alpha 90.00
_cell_angle_beta 93.27
_cell_angle_gamma 90.00
loop_
_space_group_symop_operation_xyz
'x,y,z'
'-x,-y,-z'
'-x,y,-z'
'x,-y,z'
'x+1/2,y+1/2,z'
'-x+1/2,-y+1/2,-z'
'-x+1/2,y+1/2,-z'
'x+1/2,-y+1/2,z'
loop_
_atom_site_label
_atom_site_type_symbol
_atom_site_fract_x
_atom_site_fract_y
_atom_site_fract_z
Pr1 Pr 0.0393 0.0000 0.2514
Pr2 Pr 0.0792 0.5000 0.6089
Pr3 Pr 0.1553 0.5000 0.1208
Pr4 Pr 0.1558 0.0000 0.8067
Sm1 Sm 0.2369 0.0000 0.3333
Zn1 Zn 0.0000 0.5000 0.0000
```

Results
polymorph energy (0 for the lowest one) = 0.0 meV/atom
electronic total energy = -98.16 eV/cell
calculated formation energy = -0.01 eV/atom